# 1
Material: ZrAsSe2
Method: DFT, GGA-PBEsol
State: optimized geometry

Structure (CIF):
```
data_ZrAsSe2
_symmetry_space_group_name_H-M 'A m m 2'
_symmetry_Int_Tables_number 38
_cell_length_a 4.6940
_cell_length_b 3.5498
_cell_length_c 9.5939
_cell_angle_alpha 90.00
_cell_angle_beta 90.00
_cell_angle_gamma 90.00
loop_
_symmetry_equiv_pos_as_xyz
'x,y,z'
'-x,-y,z'
'-x,y,z'
'x,-y,z'
'x,y+1/2,z+1/2'
'-x,-y+1/2,z+1/2'
'-x,y+1/2,z+1/2'
'x,-y+1/2,z+1/2'
loop_
_atom_site_label
_atom_site_type_symbol
_atom_site_fract_x
_atom_site_fract_y
_atom_site_fract_z
Zr1 Zr 0.0000 0.0000 0.0000
As1 As 0.5000 0.0000 0.4150
Se1 Se 0.0000 0.0000 0.7198
Se2 Se 0.5000 0.0000 0.1374
```

M_tot   0.0 μB/f.u.
ΔE_f (raw)   -61.8 kJ/mol of atoms
D(E_F)   0.391 states/eV per atom
E   -6.115 eV/atom

---

# 2
Material: Zr3AsSe
Method: DFT, GGA-PBEsol
State: optimized geometry

Structure (CIF):
```
data_Zr3AsSe
_symmetry_space_group_name_H-M 'P m -3 m'
_symmetry_Int_Tables_number 221
_symmetry_space_group_name_Hall '-P 4 2 3'
_cell_length_a 4.8982
_cell_length_b 4.8982
_cell_length_c 4.8982
_cell_angle_alpha 90.00
_cell_angle_beta 90.00
_cell_angle_gamma 90.00
loop_
_atom_site_label
_atom_site_type_symbol
_atom_site_fract_x
_atom_site_fract_y
_atom_site_fract_z
Zr1 Zr 0.0000 0.0000 0.5000
As1 As 0.5000 0.5000 0.5000
Se1 Se 0.0000 0.0000 0.0000
```

M_tot   0.0 μB/f.u.
ΔE_f (raw)   1.8 kJ/mol of atoms
D(E_F)   1.081 states/eV per atom
E   -7.227 eV/atom

---

# 3
Material: ZrAsSe3
Method: DFT, GGA-PBEsol
State: optimized geometry

Structure (CIF):
```
data_ZrAsSe3
_symmetry_space_group_name_H-M 'P m -3 m'
_symmetry_Int_Tables_number 221
_symmetry_space_group_name_Hall '-P 4 2 3'
_cell_length_a 4.8656
_cell_length_b 4.8656
_cell_length_c 4.8656
_cell_angle_alpha 90.00
_cell_angle_beta 90.00
_cell_angle_gamma 90.00
loop_
_atom_site_label
_atom_site_type_symbol
_atom_site_fract_x
_atom_site_fract_y
_atom_site_fract_z
Zr1 Zr 0.0000 0.0000 0.0000
As1 As 0.5000 0.5000 0.5000
Se1 Se 0.0000 0.5000 0.5000
```

M_tot   0.9 μB/f.u.
ΔE_f (raw)   19.5 kJ/mol of atoms
D(E_F)   0.773 states/eV per atom
E   -4.947 eV/atom

---

# 4
Material: ZrAsSe2
Method: DFT, GGA-PBEsol
State: optimized geometry

Structure (CIF):
```
data_ZrAsSe2
_symmetry_space_group_name_H-M 'P 4/m m m'
_symmetry_Int_Tables_number 123
_symmetry_space_group_name_Hall '-P 4 2'
_cell_length_a 3.3531
_cell_length_b 3.3531
_cell_length_c 6.7284
_cell_angle_alpha 90.00
_cell_angle_beta 90.00
_cell_angle_gamma 90.00
loop_
_atom_site_label
_atom_site_type_symbol
_atom_site_fract_x
_atom_site_fract_y
_atom_site_fract_z
Zr1 Zr 0.0000 0.0000 0.0000
As1 As 0.0000 0.0000 0.5000
Se1 Se 0.5000 0.5000 0.2231
```

M_tot   0.0 μB/f.u.
ΔE_f (raw)   -63.6 kJ/mol of atoms
D(E_F)   0.407 states/eV per atom
E   -6.133 eV/atom

---

# 5
Material: ZrAsSe2
Method: DFT, GGA-PBEsol
State: optimized geometry

Structure (CIF):
```
data_ZrAsSe2
_symmetry_space_group_name_H-M 'C 1 m 1'
_symmetry_Int_Tables_number 8
_cell_length_a 9.5486
_cell_length_b 3.5010
_cell_length_c 5.4220
_cell_angle_alpha 90.00
_cell_angle_beta 97.70
_cell_angle_gamma 90.00
loop_
_symmetry_equiv_pos_as_xyz
'x,y,z'
'x,-y,z'
'x+1/2,y+1/2,z'
'x+1/2,-y+1/2,z'
loop_
_atom_site_label
_atom_site_type_symbol
_atom_site_fract_x
_atom_site_fract_y
_atom_site_fract_z
Zr1 Zr 0.0000 0.0000 0.0000
As1 As 0.2215 0.5000 0.0775
Se1 Se 0.0342 0.5000 0.3813
Se2 Se 0.3313 0.0000 0.7127
```

M_tot   0.0 μB/f.u.
ΔE_f (raw)   -64.3 kJ/mol of atoms
D(E_F)   0.420 states/eV per atom
E   -6.140 eV/atom

---

# 6
Material: Zr2As3Se
Method: DFT, GGA-PBEsol
State: optimized geometry

Structure (CIF):
```
data_Zr2As3Se
_symmetry_space_group_name_H-M 'P 4 m m'
_symmetry_Int_Tables_number 99
_cell_length_a 3.7645
_cell_length_b 3.7645
_cell_length_c 8.0282
_cell_angle_alpha 90.00
_cell_angle_beta 90.00
_cell_angle_gamma 90.00
loop_
_symmetry_equiv_pos_as_xyz
'x,y,z'
'-y,x,z'
'-x,-y,z'
'y,-x,z'
'-x,y,z'
'y,x,z'
'x,-y,z'
'-y,-x,z'
loop_
_atom_site_label
_atom_site_type_symbol
_atom_site_fract_x
_atom_site_fract_y
_atom_site_fract_z
Zr1 Zr 0.0000 0.0000 0.0000
Zr2 Zr 0.5000 0.5000 0.4692
As1 As 0.0000 0.5000 0.7338
As2 As 0.5000 0.5000 0.1124
Se1 Se 0.0000 0.0000 0.3539
```

M_tot   0.0 μB/f.u.
ΔE_f (raw)   -98.5 kJ/mol of atoms
D(E_F)   0.224 states/eV per atom
E   -7.246 eV/atom

---

# 7
Material: SiAs
Method: DFT, GGA-PBEsol
State: optimized geometry

Structure (CIF):
```
data_SiAs
_symmetry_space_group_name_H-M 'P -6 m 2'
_symmetry_Int_Tables_number 187
_symmetry_space_group_name_Hall 'P -6 2'
_cell_length_a 2.7920
_cell_length_b 2.7920
_cell_length_c 4.9857
_cell_angle_alpha 90.00
_cell_angle_beta 90.00
_cell_angle_gamma 120.00
loop_
_atom_site_label
_atom_site_type_symbol
_atom_site_fract_x
_atom_site_fract_y
_atom_site_fract_z
Si1 Si 0.0000 0.0000 0.0000
As1 As 0.6667 0.3333 0.5000
```

M_tot   0.0 μB/f.u.
ΔE_f (raw)   45.7 kJ/mol of atoms
D(E_F)   0.434 states/eV per atom
E   -4.953 eV/atom

---

# 8
Material: SiAs2
Method: DFT, GGA-PBEsol
State: optimized geometry

Structure (CIF):
```
data_SiAs2
_symmetry_space_group_name_H-M 'P n m a'
_symmetry_Int_Tables_number 62
_cell_length_a 6.7552
_cell_length_b 3.6793
_cell_length_c 10.6507
_cell_angle_alpha 90.00
_cell_angle_beta 90.00
_cell_angle_gamma 90.00
loop_
_symmetry_equiv_pos_as_xyz
'x,y,z'
'-x,-y,-z'
'-x+1/2,-y,z+1/2'
'x+1/2,y,-z+1/2'
'x+1/2,-y+1/2,-z+1/2'
'-x+1/2,y+1/2,z+1/2'
'-x,y+1/2,-z'
'x,-y+1/2,z'
loop_
_atom_site_label
_atom_site_type_symbol
_atom_site_fract_x
_atom_site_fract_y
_atom_site_fract_z
Si1 Si 0.1489 0.2500 0.0620
As1 As 0.0006 0.2500 0.4188
As2 As 0.0289 0.2500 0.8467
```

M_tot   0.0 μB/f.u.
ΔE_f (raw)   2.2 kJ/mol of atoms
D(E_F)   0.008 states/eV per atom
E   -5.297 eV/atom

---

# 9
Material: SiAs3
Method: DFT, GGA-PBEsol
State: optimized geometry

Structure (CIF):
```
data_SiAs3
_symmetry_space_group_name_H-M 'R -3 m'
_symmetry_Int_Tables_number 166
_symmetry_space_group_name_Hall '-R 3 2"'
_cell_length_a 9.2670
_cell_length_b 9.2670
_cell_length_c 2.8255
_cell_angle_alpha 90.00
_cell_angle_beta 90.00
_cell_angle_gamma 120.00
loop_
_atom_site_label
_atom_site_type_symbol
_atom_site_fract_x
_atom_site_fract_y
_atom_site_fract_z
Si1 Si 0.0000 0.0000 0.0000
As1 As 0.0000 0.5000 0.0000
```

M_tot   0.0 μB/f.u.
ΔE_f (raw)   39.1 kJ/mol of atoms
D(E_F)   0.495 states/eV per atom
E   -4.861 eV/atom

---

# 10
Material: SiAs3
Method: DFT, GGA-PBEsol
State: optimized geometry

Structure (CIF):
```
data_SiAs3
_symmetry_space_group_name_H-M 'C 1 2/m 1'
_symmetry_Int_Tables_number 12
_cell_length_a 11.0216
_cell_length_b 3.4117
_cell_length_c 4.2378
_cell_angle_alpha 90.00
_cell_angle_beta 112.60
_cell_angle_gamma 90.00
loop_
_symmetry_equiv_pos_as_xyz
'x,y,z'
'-x,-y,-z'
'-x,y,-z'
'x,-y,z'
'x+1/2,y+1/2,z'
'-x+1/2,-y+1/2,-z'
'-x+1/2,y+1/2,-z'
'x+1/2,-y+1/2,z'
loop_
_atom_site_label
_atom_site_type_symbol
_atom_site_fract_x
_atom_site_fract_y
_atom_site_fract_z
Si1 Si 0.0000 0.0000 0.0000
As1 As 0.0000 0.5000 0.5000
As2 As 0.1887 0.5000 0.1916
```

M_tot   0.0 μB/f.u.
ΔE_f (raw)   29.5 kJ/mol of atoms
D(E_F)   0.517 states/eV per atom
E   -4.961 eV/atom

---

# 11
Material: Si3As4
Method: DFT, GGA-PBEsol
State: optimized geometry

Structure (CIF):
```
data_Si3As4
_symmetry_space_group_name_H-M 'P -4 3 m'
_symmetry_Int_Tables_number 215
_symmetry_space_group_name_Hall 'P -4 2 3'
_cell_length_a 5.2903
_cell_length_b 5.2903
_cell_length_c 5.2903
_cell_angle_alpha 90.00
_cell_angle_beta 90.00
_cell_angle_gamma 90.00
loop_
_atom_site_label
_atom_site_type_symbol
_atom_site_fract_x
_atom_site_fract_y
_atom_site_fract_z
Si1 Si 0.0000 0.0000 0.5000
As1 As 0.2816 0.2816 0.7184
```

M_tot   0.0 μB/f.u.
ΔE_f (raw)   -1.4 kJ/mol of atoms
D(E_F)   0.025 states/eV per atom
E   -5.395 eV/atom

---

# 12
Material: SiAs
Method: DFT, GGA-PBEsol
State: optimized geometry

Structure (CIF):
```
data_SiAs
_symmetry_space_group_name_H-M 'P -3 m 1'
_symmetry_Int_Tables_number 164
_symmetry_space_group_name_Hall '-P 3 2"'
_cell_length_a 2.8286
_cell_length_b 2.8286
_cell_length_c 9.6523
_cell_angle_alpha 90.00
_cell_angle_beta 90.00
_cell_angle_gamma 120.00
loop_
_atom_site_label
_atom_site_type_symbol
_atom_site_fract_x
_atom_site_fract_y
_atom_site_fract_z
Si1 Si 0.3333 0.6667 0.1122
As1 As 0.3333 0.6667 0.6506
```

M_tot   0.0 μB/f.u.
ΔE_f (raw)   42.9 kJ/mol of atoms
D(E_F)   0.428 states/eV per atom
E   -4.982 eV/atom

---

# 13
Material: SiAs2
Method: DFT, GGA-PBEsol
State: optimized geometry

Structure (CIF):
```
data_SiAs2
_symmetry_space_group_name_H-M 'C m c m'
_symmetry_Int_Tables_number 63
_symmetry_space_group_name_Hall '-C 2c 2'
_cell_length_a 3.7066
_cell_length_b 11.1705
_cell_length_c 5.2268
_cell_angle_alpha 90.00
_cell_angle_beta 90.00
_cell_angle_gamma 90.00
loop_
_atom_site_label
_atom_site_type_symbol
_atom_site_fract_x
_atom_site_fract_y
_atom_site_fract_z
Si1 Si 0.0000 0.1679 0.2500
As1 As 0.0000 0.1762 0.7500
As2 As 0.0000 0.4871 0.7500
```

M_tot   0.0 μB/f.u.
ΔE_f (raw)   8.1 kJ/mol of atoms
D(E_F)   0.437 states/eV per atom
E   -5.236 eV/atom

---

# 14
Material: Si3As
Method: DFT, GGA-PBEsol
State: optimized geometry

Structure (CIF):
```
data_Si3As
_symmetry_space_group_name_H-M 'P -6 m 2'
_symmetry_Int_Tables_number 187
_symmetry_space_group_name_Hall 'P -6 2'
_cell_length_a 2.7574
_cell_length_b 2.7574
_cell_length_c 9.4027
_cell_angle_alpha 90.00
_cell_angle_beta 90.00
_cell_angle_gamma 120.00
loop_
_atom_site_label
_atom_site_type_symbol
_atom_site_fract_x
_atom_site_fract_y
_atom_site_fract_z
Si1 Si 0.0000 0.0000 0.0000
Si2 Si 0.3333 0.6667 0.2316
As1 As 0.0000 0.0000 0.5000
```

M_tot   0.0 μB/f.u.
ΔE_f (raw)   42.0 kJ/mol of atoms
D(E_F)   0.454 states/eV per atom
E   -5.151 eV/atom